1.
First-principles (PBE-GGA) data for Na2BiAu after structural relaxation, as listed in OQMD.

## Properties
space group = Cmcm
energy = -2.860 eV per atom

Geometry as extended XYZ:
```
8
Lattice="4.649 -3.812 0.000 4.649 3.812 0.000 0.000 0.000 5.838" Properties=species:S:1:pos:R:3 pbc="T T T"
Na 1.694 1.343 1.460
Na 1.694 -1.343 4.379
Na 7.603 1.343 1.460
Na 7.603 -1.343 4.379
Bi 4.649 2.414 1.460
Bi 4.649 -2.414 4.379
Au 4.649 0.000 0.000
Au 4.649 0.000 2.919
```

---

2.
First-principles (PBE-GGA) data for B2IrPd after structural relaxation, as listed in OQMD.

## Properties
space group = F-43m
total moment = 0.00 μB/atom
energy = -5.616 eV per atom

Geometry as extended XYZ:
```
4
Lattice="0.000 2.861 2.861 2.861 0.000 2.861 2.861 2.861 0.000" Properties=species:S:1:pos:R:3 pbc="T T T"
B 0.000 0.000 0.000
B 1.430 1.430 1.430
Ir 4.291 4.291 4.291
Pd 2.861 2.861 2.861
```

---

3.
First-principles (PBE-GGA) data for SrTbAs after structural relaxation, as listed in OQMD.

## Properties
space group = F-43m
total moment = 0.00 μB/atom
energy = -4.312 eV per atom

Geometry as extended XYZ:
```
3
Lattice="0.000 3.554 3.554 3.554 0.000 3.554 3.554 3.554 0.000" Properties=species:S:1:pos:R:3 pbc="T T T"
Sr 0.000 0.000 0.000
Tb 3.554 3.554 3.554
As 1.777 1.777 1.777
```

---

What did the first record say?
First-principles (PBE-GGA) data for Na2BiAu after structural relaxation, as listed in OQMD.

## Properties
space group = Cmcm
energy = -2.860 eV per atom

Geometry as extended XYZ:
```
8
Lattice="4.649 -3.812 0.000 4.649 3.812 0.000 0.000 0.000 5.838" Properties=species:S:1:pos:R:3 pbc="T T T"
Na 1.694 1.343 1.460
Na 1.694 -1.343 4.379
Na 7.603 1.343 1.460
Na 7.603 -1.343 4.379
Bi 4.649 2.414 1.460
Bi 4.649 -2.414 4.379
Au 4.649 0.000 0.000
Au 4.649 0.000 2.919
```

---

> Among the records above, which one has the lowest energy?

B2IrPd